Entry 1:
Compound: AcMnPt3
Source: Alexandria
Functional: PBE
Structure: optimized geometry

As for the total energy: -6.976 eV per atom. The value obtained for the size of the total moment is 4.02 μB per formula unit. Its space group is P6_3/mmc (194). The density of states at the Fermi level is 0.432 states/eV per atom.

Geometry as CIF:
```
data_AcMnPt3
_chemical_formula_sum 'Ac2 Mn2 Pt6'
_cell_length_a 5.909
_cell_length_b 6.364
_cell_length_c 6.364
_cell_angle_alpha 120.00
_cell_angle_beta 90.00
_cell_angle_gamma 90.00
_space_group_name_H-M_alt 'P 1'
_space_group_IT_number 1
loop_
_space_group_symop_operation_xyz
'x,y,z'
loop_
_atom_site_label
_atom_site_fract_x
_atom_site_fract_y
_atom_site_fract_z
_atom_site_occupancy
Pt1 0.750 0.809 0.618 1
Ac1 0.750 0.333 0.667 1
Pt2 0.250 0.191 0.382 1
Mn1 0.000 0.000 0.000 1
Pt3 0.750 0.382 0.191 1
Mn2 0.500 0.000 0.000 1
Pt4 0.750 0.809 0.191 1
Ac2 0.250 0.667 0.333 1
Pt5 0.250 0.618 0.809 1
Pt6 0.250 0.191 0.809 1
```

=====

Entry 2:
Compound: Ac2MnPt9
Source: Alexandria
Functional: PBE
Structure: optimized geometry

As for the total energy: -6.513 eV per atom. The value obtained for the size of the total moment is 4.75 μB per formula unit. Its space group is R-3m (166). The density of states at the Fermi level is 0.821 states/eV per atom.

Geometry as CIF:
```
data_Ac2MnPt9
_chemical_formula_sum 'Ac2 Mn1 Pt9'
_cell_length_a 5.496
_cell_length_b 5.496
_cell_length_c 9.576
_cell_angle_alpha 73.32
_cell_angle_beta 73.32
_cell_angle_gamma 60.00
_space_group_name_H-M_alt 'P 1'
_space_group_IT_number 1
loop_
_space_group_symop_operation_xyz
'x,y,z'
loop_
_atom_site_label
_atom_site_fract_x
_atom_site_fract_y
_atom_site_fract_z
_atom_site_occupancy
Pt1 0.500 0.500 0.500 1
Pt2 0.667 0.667 0.998 1
Mn1 0.000 0.000 0.000 1
Pt3 0.417 0.417 0.246 1
Pt4 0.921 0.417 0.246 1
Pt5 0.583 0.583 0.754 1
Pt6 0.417 0.921 0.246 1
Ac1 0.864 0.864 0.407 1
Ac2 0.136 0.136 0.593 1
Pt7 0.583 0.079 0.754 1
Pt8 0.079 0.583 0.754 1
Pt9 0.333 0.333 0.002 1
```

=====

Entry 3:
Compound: AcMnPt
Source: Alexandria
Functional: PBE
Structure: optimized geometry

As for the total energy: -6.857 eV per atom. The value obtained for the size of the total moment is 4.25 μB per formula unit. Its space group is C2/m (12). The density of states at the Fermi level is 0.851 states/eV per atom.

Geometry as CIF:
```
data_AcMnPt
_chemical_formula_sum 'Ac2 Mn2 Pt2'
_cell_length_a 4.344
_cell_length_b 5.718
_cell_length_c 13.955
_cell_angle_alpha 143.32
_cell_angle_beta 90.00
_cell_angle_gamma 112.32
_space_group_name_H-M_alt 'P 1'
_space_group_IT_number 1
loop_
_space_group_symop_operation_xyz
'x,y,z'
loop_
_atom_site_label
_atom_site_fract_x
_atom_site_fract_y
_atom_site_fract_z
_atom_site_occupancy
Pt1 0.433 0.867 0.251 1
Mn1 0.931 0.862 0.567 1
Pt2 0.567 0.133 0.749 1
Ac1 0.084 0.168 0.197 1
Ac2 0.916 0.832 0.803 1
Mn2 0.069 0.138 0.433 1
```

=====

Entry 4:
Compound: Ac2MnSi3Pt12
Source: Alexandria
Functional: PBE
Structure: optimized geometry

As for the total energy: -6.410 eV per atom. The value obtained for the size of the total moment is 4.09 μB per formula unit. The formation energy without anion corrections is -513.3 meV/atom. Its space group is R-3m (166). The density of states at the Fermi level is 0.414 states/eV per atom.

Geometry as CIF:
```
data_Ac2MnSi3Pt12
_chemical_formula_sum 'Ac2 Mn1 Si3 Pt12'
_cell_length_a 7.846
_cell_length_b 7.846
_cell_length_c 7.846
_cell_angle_alpha 63.65
_cell_angle_beta 63.65
_cell_angle_gamma 63.65
_space_group_name_H-M_alt 'P 1'
_space_group_IT_number 1
loop_
_space_group_symop_operation_xyz
'x,y,z'
loop_
_atom_site_label
_atom_site_fract_x
_atom_site_fract_y
_atom_site_fract_z
_atom_site_occupancy
Mn1 0.000 0.000 0.000 1
Pt1 0.122 0.122 0.630 1
Si1 0.000 0.500 0.000 1
Pt2 0.350 0.350 0.900 1
Pt3 0.878 0.370 0.878 1
Pt4 0.370 0.878 0.878 1
Pt5 0.650 0.100 0.650 1
Ac1 0.385 0.385 0.385 1
Ac2 0.615 0.615 0.615 1
Si2 0.500 0.000 0.000 1
Si3 0.000 0.000 0.500 1
Pt6 0.650 0.650 0.100 1
Pt7 0.878 0.878 0.370 1
Pt8 0.100 0.650 0.650 1
Pt9 0.122 0.630 0.122 1
Pt10 0.900 0.350 0.350 1
Pt11 0.350 0.900 0.350 1
Pt12 0.630 0.122 0.122 1
```

=====

- The highest size of the total moment belongs to which entry?
  Ac2MnPt9

=====

- The lowest total energy belongs to which entry?
  AcMnPt3

=====

Repeat the first record exactly.
Compound: AcMnPt3
Source: Alexandria
Functional: PBE
Structure: optimized geometry

As for the total energy: -6.976 eV per atom. The value obtained for the size of the total moment is 4.02 μB per formula unit. Its space group is P6_3/mmc (194). The density of states at the Fermi level is 0.432 states/eV per atom.

Geometry as CIF:
```
data_AcMnPt3
_chemical_formula_sum 'Ac2 Mn2 Pt6'
_cell_length_a 5.909
_cell_length_b 6.364
_cell_length_c 6.364
_cell_angle_alpha 120.00
_cell_angle_beta 90.00
_cell_angle_gamma 90.00
_space_group_name_H-M_alt 'P 1'
_space_group_IT_number 1
loop_
_space_group_symop_operation_xyz
'x,y,z'
loop_
_atom_site_label
_atom_site_fract_x
_atom_site_fract_y
_atom_site_fract_z
_atom_site_occupancy
Pt1 0.750 0.809 0.618 1
Ac1 0.750 0.333 0.667 1
Pt2 0.250 0.191 0.382 1
Mn1 0.000 0.000 0.000 1
Pt3 0.750 0.382 0.191 1
Mn2 0.500 0.000 0.000 1
Pt4 0.750 0.809 0.191 1
Ac2 0.250 0.667 0.333 1
Pt5 0.250 0.618 0.809 1
Pt6 0.250 0.191 0.809 1
```